Computed, not measured: a geometry-optimized SmFeO3 structure at the PBE with a Hubbard U level of DFT.

Cell: 3.9078 3.9078 3.9078 Å, 90.00 90.00 90.00°
Sites, in units of the cell vectors:
Sm 0.0000 0.0000 0.0000
Fe 0.5000 0.5000 0.5000
O 0.0000 0.5000 0.5000
O 0.5000 0.0000 0.5000
O 0.5000 0.5000 0.0000

Results
DFT total energy: -36.6 eV for the cell shown
M_tot: 5.00 μB/cell
space-group type: Pm-3m (221)